TbNd2Ag4: relaxed, GGA-PBE.

Cell: 7.494 7.494 7.494 Å, 137.64 137.64 61.46°
Fractional positions:
Tb  0.000  0.000  0.000
Nd  0.280  0.280  0.000
Nd  0.720  0.720  0.000
Ag  0.115  0.615  0.500
Ag  0.385  0.885  0.500
Ag  0.615  0.115  0.500
Ag  0.885  0.385  0.500

Values from the calculation:
The value obtained for the total DFT energy (no corrections) is -3.753 eV/atom. The calculation puts the density of states at the Fermi level at 6.46 states/eV per cell. The value obtained for the energy relative to the elements is -0.100 eV per atom.